GGA-PBE Tm4ScIn, relaxed; total DFT energy (no corrections) = -4.61 eV/atom; SG = Cmc2_1; formation enthalpy at 0 K = -0.120 eV per atom; total magnetic moment = 0.0 μB/cell
1.0
3.614 0.000 0.000
-1.807 8.325 0.000
0.000 0.000 11.183
Tm Sc In
8 2 2
Cartesian
1.807 8.209 3.314
0.000 0.116 8.906
1.807 5.835 0.265
0.000 2.490 5.856
1.807 2.982 2.785
0.000 5.343 8.377
0.000 7.836 6.137
1.807 0.489 0.546
1.807 5.226 5.406
0.000 3.099 10.997
1.807 2.696 8.496
0.000 5.629 2.904

=====

GGA-PBE BaHg4, relaxed; total DFT energy (no corrections) = -0.48 eV/atom; SG = Pm-3m; formation enthalpy at 0 K = 0.146 eV per atom; total magnetic moment = 0.0 μB/cell
1.0
-3.958 4.932 2.473
-0.781 -3.514 5.758
5.462 3.072 2.616
Ba Hg
1 4
Cartesian
0.361 2.245 5.423
0.000 0.000 0.000
0.752 4.002 2.544
2.340 -0.221 4.187
-2.370 0.709 4.115

=====

GGA-PBE Ca2CrTe, relaxed; total DFT energy (no corrections) = -4.21 eV/atom; SG = I-42d; E_form (uncorrected) = -0.022 eV per atom; total magnetic moment = 10.6 μB/cell
1.0
-7.708 2.974 1.468
-2.602 -3.120 -7.343
-6.087 -3.334 -1.221
Cr Ca Te
2 4 2
Cartesian
-5.155 -0.073 -2.937
-6.922 -3.263 -5.751
-6.745 0.667 -0.290
-4.032 -2.443 -4.726
-8.405 -2.522 -3.043
-13.614 -2.660 -6.132
0.000 0.000 0.000
-9.475 -0.216 -1.345

=====

GGA-PBE MnNiMo2, relaxed; total DFT energy (no corrections) = -9.03 eV/atom; SG = P4mm; formation enthalpy at 0 K = 0.120 eV per atom; total magnetic moment = 2.5 μB/cell
1.0
2.627 0.000 0.000
0.000 2.627 0.000
0.000 0.000 8.012
Mn Mo Ni
1 2 1
Cartesian
1.313 1.313 5.848
0.000 0.000 7.882
1.313 1.313 2.208
0.000 0.000 4.092